First-principles (PBE) data for a relaxed CuAg2 crystal, as listed in the Open Quantum Materials Database.

Output
Energy of formation from the pure elements = 0.08 eV per atom
Relative energy among the computed polymorphs = 0.154 eV/f.u.
E = -3.040 eV per atom

Unit cell a=2.867 b=3.859 c=26.012 alpha=90.00 beta=90.00 gamma=90.00
Space group Imm2 (No. 44)
Inequivalent atoms, fractional coordinates:
Cu (0.000, 0.000, 0.000)
Cu (0.000, 0.000, 0.105)
Cu (0.000, 0.000, 0.332)
Ag (0.000, 0.000, 0.219)
Ag (0.000, 0.000, 0.445)
Ag (0.000, 0.000, 0.552)
Ag (0.000, 0.000, 0.659)
Ag (0.000, 0.000, 0.779)
Ag (0.000, 0.000, 0.886)